1.
The following is a GGA-PBE calculation of a relaxed structure of BaLiN2O, from Alexandria.

abc: 5.3124 5.3124 4.8617
angles: 90.00 90.00 90.00
Last column: magnetic moment on the atom in μB.
Fractional positions:
N: 0.5000 0.0000 0.0000  1.38
Ba: 0.0000 0.0000 0.0000  0.10
N: 0.0000 0.5000 0.0000  1.38
O: 0.0000 0.0000 0.5000  0.61
Li: 0.5000 0.5000 0.5000  -0.01

## Properties
The calculation puts the formation energy without anion corrections at 5.15 eV/f.u. The total energy comes out at -4.058 eV per atom.

2.
The following is a GGA-PBE calculation of a relaxed structure of MnReC3, from Alexandria.

abc: 3.7234 3.7234 3.7234
angles: 90.00 90.00 90.00
Last column: magnetic moment on the atom in μB.
Fractional positions:
C: 0.0000 0.0000 0.5000  -0.01
Re: 0.5000 0.5000 0.5000  2.12
Mn: 0.0000 0.0000 0.0000  1.22
C: 0.5000 0.0000 0.0000  -0.05
C: 0.0000 0.5000 0.0000  -0.03

## Properties
The total energy comes out at -7.641 eV per atom. Its formation energy is 2.217 eV per atom.

3.
The following is a GGA-PBE calculation of a relaxed structure of AlTe2Pt, from Alexandria.

abc: 6.1465 6.1465 7.5279
angles: 65.91 65.91 90.00
Fractional positions:
Te: 0.1145 0.6250 0.2500
Al: 0.5000 0.5000 0.0000
Te: 0.3750 0.3645 0.7500
Te: 0.8750 0.8855 0.7500
Pt: 0.0000 0.0000 0.0000
Al: 0.2500 0.7500 0.5000
Te: 0.6355 0.1250 0.2500
Pt: 0.7500 0.2500 0.5000

## Properties
The calculation puts the formation energy without anion corrections at -0.86 eV/f.u. The total energy comes out at -4.232 eV per atom.

4.
The following is a GGA-PBE calculation of a relaxed structure of CeNp2US4, from Alexandria.

abc: 3.8809 6.9285 6.6898
angles: 109.09 90.00 90.00
Last column: magnetic moment on the atom in μB.
Fractional positions:
Np: 0.0000 0.5000 0.5000  3.74
S: 0.5000 0.2572 0.2553  -0.03
S: 0.5000 0.7428 0.7447  -0.03
S: 0.0000 0.7470 0.2523  0.00
S: 0.0000 0.2530 0.7477  0.00
Np: 0.5000 0.0000 0.5000  -3.79
U: 0.5000 0.5000 0.0000  2.06
Ce: 0.0000 0.0000 0.0000  -0.13

## Properties
The calculation puts the formation energy without anion corrections at -12.23 eV/f.u. The total energy comes out at -8.980 eV per atom.

5.
The following is a GGA-PBE calculation of a relaxed structure of SbOsPt2, from Alexandria.

abc: 9.3136 9.3136 9.3136
angles: 18.16 18.16 18.16
Fractional positions:
Pt: 0.4951 0.4951 0.4951
Os: 0.7500 0.7500 0.7500
Pt: 0.0049 0.0049 0.0049
Sb: 0.2500 0.2500 0.2500

## Properties
The calculation puts the formation energy without anion corrections at 1.42 eV/f.u. The total energy comes out at -6.503 eV per atom.

6.
The following is a GGA-PBE calculation of a relaxed structure of Pr8P3HBr4, from Alexandria.

abc: 8.2790 8.7108 8.2789
angles: 118.37 120.00 90.00
Fractional positions:
Br: 0.0000 0.0000 0.0000
Pr: 0.2555 0.2960 0.0258
P: 0.5000 0.5000 0.0000
H: 0.0000 0.5000 0.0000
Pr: 0.2300 0.7042 0.4599
Br: 0.0000 0.0000 0.5000
Pr: 0.7445 0.7040 0.9742
Br: 0.5000 0.0000 0.0000
Br: 0.5000 0.0000 0.5000
Pr: 0.7703 0.2960 0.0258
P: 0.5000 0.5000 0.5000
Pr: 0.2640 0.2921 0.5280
Pr: 0.7360 0.7079 0.4720
Pr: 0.7700 0.2958 0.5401
Pr: 0.2297 0.7040 0.9742
P: 0.0000 0.5000 0.5000

## Properties
The total energy comes out at -5.296 eV per atom.

7.
The following is a GGA-PBE calculation of a relaxed structure of La2CdIn, from Alexandria.

abc: 5.4815 3.9154 5.6615
angles: 90.00 90.00 90.00
Fractional positions:
In: 0.5000 0.6249 0.8252
Cd: 0.0000 0.6251 0.4267
La: 0.0000 0.1250 0.9117
La: 0.5000 0.1250 0.3365

## Properties
The total energy comes out at -3.801 eV per atom. Its formation energy is -0.424 eV per atom.